SiTeAs3 | PBE | relaxed

Cell lengths 4.825, 4.825, 4.825 Å; angles 90.00, 90.00, 90.00 degrees
Fractional coordinates of all 5 atoms:
Si: 0.000 0.000 0.000
Te: 0.500 0.500 0.500
As: 0.000 0.000 0.500
As: 0.000 0.500 0.000
As: 0.500 0.000 0.000

---

SiTeAs3 | PBE | relaxed

Cell lengths 5.279, 5.279, 5.279 Å; angles 90.00, 90.00, 90.00 degrees
Fractional coordinates of all 5 atoms:
Si: 0.000 0.000 0.000
Te: 0.500 0.500 0.500
As: 0.000 0.500 0.500
As: 0.500 0.000 0.500
As: 0.500 0.500 0.000

---

Si2TeAs | PBE | relaxed

Cell lengths 3.182, 3.182, 8.748 Å; angles 90.00, 90.00, 90.00 degrees
Fractional coordinates of all 4 atoms:
Si: 0.000 0.000 0.000
Si: 0.500 0.500 0.141
Te: 0.000 0.000 0.458
As: 0.500 0.500 0.842

---

SiTeAs | PBE | relaxed

Cell lengths 7.918, 7.699, 3.134 Å; angles 82.39, 74.52, 23.09 degrees
Fractional coordinates of all 3 atoms:
Si: 0.000 0.000 0.000
Te: 0.663 0.663 0.337
As: 0.386 0.386 0.614

---

Si2TeAs | PBE | relaxed

Cell lengths 4.787, 4.787, 4.787 Å; angles 60.00, 60.00, 60.00 degrees
Fractional coordinates of all 4 atoms:
Si: 0.000 0.000 0.000
Si: 0.250 0.250 0.250
Te: 0.750 0.750 0.750
As: 0.500 0.500 0.500

---

Si2TeAs | PBE | relaxed

Cell lengths 6.032, 6.032, 6.032 Å; angles 141.91, 141.91, 54.97 degrees
Fractional coordinates of all 4 atoms:
Si: 0.000 0.000 0.000
Si: 0.750 0.250 0.500
Te: 0.250 0.750 0.500
As: 0.500 0.500 0.000

---

Si2TeAs | PBE | relaxed

Cell lengths 3.426, 4.750, 4.912 Å; angles 90.00, 90.00, 90.00 degrees
Fractional coordinates of all 4 atoms:
Si: 0.000 0.000 0.000
Si: 0.500 0.500 0.000
Te: 0.000 0.500 0.500
As: 0.500 0.000 0.500

---

Si5Te12As3 | PBE | relaxed

Cell lengths 14.626, 14.626, 14.626 Å; angles 109.47, 109.47, 109.47 degrees
Fractional coordinates of all 80 atoms:
Si: 0.000 0.000 0.000
Si: 0.000 0.000 0.500
Si: 0.000 0.500 0.000
Si: 0.000 0.500 0.500
Si: 0.125 0.750 0.875
Si: 0.125 0.875 0.250
Si: 0.250 0.125 0.875
Si: 0.250 0.625 0.375
Si: 0.375 0.250 0.625
Si: 0.375 0.625 0.750
Si: 0.500 0.000 0.000
Si: 0.500 0.000 0.500
Si: 0.500 0.500 0.000
Si: 0.500 0.500 0.500
Si: 0.625 0.375 0.250
Si: 0.625 0.750 0.375
Si: 0.750 0.375 0.625
Si: 0.750 0.875 0.125
Si: 0.875 0.125 0.750
Si: 0.875 0.250 0.125
Te: 0.037 0.217 0.126
Te: 0.037 0.320 0.911
Te: 0.089 0.626 0.409
Te: 0.089 0.963 0.680
Te: 0.091 0.717 0.680
Te: 0.091 0.874 0.411
Te: 0.126 0.037 0.217
Te: 0.126 0.589 0.909
Te: 0.180 0.217 0.591
Te: 0.180 0.463 0.589
Te: 0.217 0.126 0.037
Te: 0.217 0.591 0.180
Te: 0.283 0.320 0.909
Te: 0.283 0.463 0.374
Te: 0.320 0.909 0.283
Te: 0.320 0.911 0.037
Te: 0.374 0.283 0.463
Te: 0.374 0.591 0.911
Te: 0.409 0.089 0.626
Te: 0.409 0.820 0.783
Te: 0.411 0.091 0.874
Te: 0.411 0.820 0.537
Te: 0.463 0.374 0.283
Te: 0.463 0.589 0.180
Te: 0.537 0.411 0.820
Te: 0.537 0.626 0.717
Te: 0.589 0.180 0.463
Te: 0.589 0.909 0.126
Te: 0.591 0.180 0.217
Te: 0.591 0.911 0.374
Te: 0.626 0.409 0.089
Te: 0.626 0.717 0.537
Te: 0.680 0.089 0.963
Te: 0.680 0.091 0.717
Te: 0.717 0.537 0.626
Te: 0.717 0.680 0.091
Te: 0.783 0.409 0.820
Te: 0.783 0.874 0.963
Te: 0.820 0.537 0.411
Te: 0.820 0.783 0.409
Te: 0.874 0.411 0.091
Te: 0.874 0.963 0.783
Te: 0.909 0.126 0.589
Te: 0.909 0.283 0.320
Te: 0.911 0.037 0.320
Te: 0.911 0.374 0.591
Te: 0.963 0.680 0.089
Te: 0.963 0.783 0.874
As: 0.125 0.250 0.375
As: 0.125 0.375 0.750
As: 0.250 0.375 0.125
As: 0.250 0.875 0.625
As: 0.375 0.125 0.250
As: 0.375 0.750 0.125
As: 0.625 0.250 0.875
As: 0.625 0.875 0.750
As: 0.750 0.125 0.375
As: 0.750 0.625 0.875
As: 0.875 0.625 0.250
As: 0.875 0.750 0.625

---

Si2TeAs | PBE | relaxed

Cell lengths 4.805, 4.805, 4.805 Å; angles 60.00, 60.00, 60.00 degrees
Fractional coordinates of all 4 atoms:
Si: 0.250 0.250 0.250
Si: 0.750 0.750 0.750
Te: 0.000 0.000 0.000
As: 0.500 0.500 0.500

---

Si2TeAs | PBE | relaxed

Cell lengths 3.255, 3.255, 8.943 Å; angles 90.00, 90.00, 112.00 degrees
Fractional coordinates of all 4 atoms:
Si: 0.000 0.000 0.000
Si: 0.500 0.500 0.194
Te: 0.500 0.500 0.767
As: 0.000 0.000 0.378

---

SiTeAs | PBE | relaxed

Cell lengths 5.703, 6.384, 6.426 Å; angles 110.48, 102.58, 112.55 degrees
Fractional coordinates of all 6 atoms:
Si: 0.032 0.297 0.029
Si: 0.968 0.703 0.971
Te: 0.397 0.189 0.202
Te: 0.603 0.811 0.798
As: 0.056 0.403 0.710
As: 0.944 0.597 0.290

---

SiTeAs4 | PBE | relaxed

Cell lengths 5.664, 5.664, 5.664 Å; angles 60.00, 60.00, 60.00 degrees
Fractional coordinates of all 6 atoms:
Si: 0.000 0.000 0.000
Te: 0.750 0.750 0.750
As: 0.379 0.379 0.379
As: 0.379 0.379 0.864
As: 0.379 0.864 0.379
As: 0.864 0.379 0.379

---

SiTeAs2 | PBE | relaxed

Cell lengths 6.019, 6.019, 4.134 Å; angles 98.49, 98.49, 37.87 degrees
Fractional coordinates of all 4 atoms:
Si: 0.000 0.000 0.000
Te: 0.500 0.500 0.500
As: 0.228 0.228 0.181
As: 0.772 0.772 0.819

---

SiTeAs2 | PBE | relaxed

Cell lengths 6.332, 6.332, 6.332 Å; angles 143.76, 143.76, 52.19 degrees
Fractional coordinates of all 4 atoms:
Si: 0.000 0.000 0.000
Te: 0.500 0.500 0.000
As: 0.250 0.750 0.500
As: 0.750 0.250 0.500

---

SiTeAs2 | PBE | relaxed

Cell lengths 3.262, 3.262, 8.453 Å; angles 90.00, 90.00, 90.00 degrees
Fractional coordinates of all 4 atoms:
Si: 0.000 0.000 0.000
Te: 0.000 0.000 0.500
As: 0.500 0.500 0.158
As: 0.500 0.500 0.842

---

Si2TeAs | PBE | relaxed

Cell lengths 3.466, 3.466, 7.501 Å; angles 90.00, 90.00, 111.09 degrees
Fractional coordinates of all 4 atoms:
Si: 0.000 0.000 0.223
Si: 0.000 0.000 0.777
Te: 0.500 0.500 0.500
As: 0.500 0.500 0.000

---

SiTeAs2 | PBE | relaxed

Cell lengths 4.916, 4.916, 4.916 Å; angles 121.14, 121.14, 88.04 degrees
Fractional coordinates of all 4 atoms:
Si: 0.000 0.000 0.000
Te: 0.250 0.750 0.500
As: 0.500 0.500 0.000
As: 0.750 0.250 0.500

---

SiTeAs2 | PBE | relaxed

Cell lengths 5.607, 5.607, 3.180 Å; angles 101.03, 101.03, 116.41 degrees
Fractional coordinates of all 4 atoms:
Si: 0.000 0.000 0.000
Te: 0.500 0.500 0.000
As: 0.000 0.500 0.500
As: 0.500 0.000 0.500

---

SiTeAs2 | PBE | relaxed

Cell lengths 2.948, 2.948, 10.184 Å; angles 90.00, 90.00, 106.50 degrees
Fractional coordinates of all 4 atoms:
Si: 0.000 0.000 0.000
Te: 0.500 0.500 0.727
As: 0.000 0.000 0.439
As: 0.500 0.500 0.204

---

SiTeAs | PBE | relaxed

Cell lengths 4.803, 4.803, 4.803 Å; angles 60.00, 60.00, 60.00 degrees
Fractional coordinates of all 3 atoms:
Si: 0.000 0.000 0.000
Te: 0.250 0.250 0.250
As: 0.500 0.500 0.500

---

Si2TeAs | PBE | relaxed

Cell lengths 5.481, 5.481, 7.548 Å; angles 125.85, 125.85, 35.82 degrees
Fractional coordinates of all 4 atoms:
Si: 0.143 0.143 0.442
Si: 0.857 0.857 0.558
Te: 0.000 0.000 0.000
As: 0.500 0.500 0.500

---

SiTeAs | PBE | relaxed

Cell lengths 7.781, 7.781, 7.781 Å; angles 155.40, 155.40, 35.07 degrees
Fractional coordinates of all 3 atoms:
Si: 0.000 0.000 0.000
Te: 0.826 0.826 0.000
As: 0.562 0.562 0.000

---

SiTeAs | PBE | relaxed

Cell lengths 4.660, 4.660, 4.660 Å; angles 60.00, 60.00, 60.00 degrees
Fractional coordinates of all 3 atoms:
Si: 0.000 0.000 0.000
Te: 0.250 0.250 0.250
As: 0.750 0.750 0.750

---

Si4TeAs | PBE | relaxed

Cell lengths 5.334, 5.334, 5.334 Å; angles 60.00, 60.00, 60.00 degrees
Fractional coordinates of all 6 atoms:
Si: 0.124 0.124 0.124
Si: 0.124 0.124 0.627
Si: 0.124 0.627 0.124
Si: 0.627 0.124 0.124
Te: 0.500 0.500 0.500
As: 0.750 0.750 0.750

---

Si2TeAs | PBE | relaxed

Cell lengths 5.720, 5.720, 5.720 Å; angles 145.12, 130.46, 62.02 degrees
Fractional coordinates of all 4 atoms:
Si: 0.221 0.221 0.000
Si: 0.779 0.779 0.000
Te: 0.500 0.000 0.500
As: 0.000 0.500 0.500

---

SiTeAs2 | PBE | relaxed

Cell lengths 2.948, 2.948, 10.608 Å; angles 90.00, 90.00, 106.98 degrees
Fractional coordinates of all 4 atoms:
Si: 0.000 0.000 0.000
Te: 0.000 0.000 0.500
As: 0.500 0.500 0.189
As: 0.500 0.500 0.811

---

Here are the calculated formation energy from raw total energies numbers, same order: 589; 1322; 379; 457; 677; 627; 634; 264; 596; 423; 162; 658; 140; 558; 305; 564; 549; 550; 526; 776; 377; 165; 537; 643; 603; 441 (meV/atom).
Here are the calculated uncorrected energy numbers, same order: -19.6; -15.9; -17.1; -11.8; -15.9; -16.1; -16.1; -294.0; -16.3; -16.9; -25.5; -23.2; -17.3; -15.6; -16.6; -16.4; -15.7; -15.7; -15.8; -10.9; -17.1; -12.7; -11.6; -25.6; -16.2; -16.1 (eV/cell).
Here are the calculated calculated density numbers, same order: 5.623; 4.293; 4.851; 5.557; 5.537; 5.178; 5.374; 5.230; 5.475; 4.889; 4.143; 5.885; 5.585; 5.749; 5.639; 5.111; 6.150; 6.079; 5.980; 4.888; 4.106; 4.696; 5.350; 4.872; 5.331; 5.754 (g/cm³).